Compound: CaAlZn2
Source: Alexandria
Functional: PBE
Structure: optimized geometry

It has space group I-42d (No. 122), with a = 4.834 Å, b = 4.834 Å, c = 17.177 Å, α = 90.00°, β = 90.00° and γ = 90.00°. Symmetry generates all atoms from Ca at (0.000, 0.000, 0.000), Al at (0.000, 0.000, 0.500) and Zn at (0.041, 0.250, 0.625).

The calculation puts the total magnetization at 0.0 μB per cell. The value obtained for the formation energy is -0.002 eV per atom.



Compound: Ca2Al6Zn3
Source: Alexandria
Functional: PBE
Structure: optimized geometry

It has space group P-62m (No. 189), with a = 7.8110 Å, b = 7.8110 Å, c = 4.1589 Å, α = 90.00°, β = 90.00° and γ = 120.00°. Symmetry generates all atoms from Ca at (0.3333, 0.6667, 0.0000), Al at (0.0000, 0.1941, 0.0000), Al at (0.0000, 0.7056, 0.5000) and Zn at (0.0000, 0.3792, 0.5000).

The calculation puts the total magnetization at 0.0 μB per cell. The value obtained for the formation energy is -0.227 eV per atom.



Compound: Ca7Al2Zn2
Source: Alexandria
Functional: PBE
Structure: optimized geometry

It has space group Cmmm (No. 65), with a = 7.918 Å, b = 11.692 Å, c = 7.706 Å, α = 90.00°, β = 90.00° and γ = 90.00°. Symmetry generates all atoms from Ca at (0.000, 0.000, 0.000), Ca at (0.000, 0.500, 0.256), Ca at (0.250, 0.250, 0.278), Al at (0.163, 0.000, 0.500) and Zn at (0.000, 0.296, 0.000).

The calculation puts the total magnetization at 0.0 μB per cell. The value obtained for the distance to the lowest polymorph of the same formula is 0.0856 eV per atom. The value obtained for the formation energy is -0.012 eV per atom.



Compound: Ca6AlZn
Source: Alexandria
Functional: PBE
Structure: optimized geometry

It has space group I4/mmm (No. 139), with a = 5.356 Å, b = 5.356 Å, c = 18.745 Å, α = 90.00°, β = 90.00° and γ = 90.00°. Symmetry generates all atoms from Ca at (0.000, 0.000, 0.248), Ca at (0.000, 0.500, 0.095), Al at (0.000, 0.000, 0.000) and Zn at (0.000, 0.000, 0.500).

The calculation puts the total magnetization at 0.0 μB per cell. The value obtained for the formation energy is -0.116 eV per atom.



Compound: Ca2Al2Zn
Source: Alexandria
Functional: PBE
Structure: optimized geometry

It has space group P4/mbm (No. 127), with a = 8.779 Å, b = 8.779 Å, c = 3.620 Å, α = 90.00°, β = 90.00° and γ = 90.00°. Symmetry generates all atoms from Ca at (0.188, 0.312, 0.000), Al at (0.104, 0.604, 0.500) and Zn at (0.000, 0.000, 0.000).

The calculation puts the total magnetization at 0.0 μB per cell. The value obtained for the formation energy is 0.083 eV per atom.



Compound: CaAlZn2
Source: Alexandria
Functional: PBE
Structure: optimized geometry

It has space group P4/mmm (No. 123), with a = 3.376 Å, b = 3.376 Å, c = 7.011 Å, α = 90.00°, β = 90.00° and γ = 90.00°. Symmetry generates all atoms from Ca at (0.000, 0.000, 0.000), Al at (0.000, 0.000, 0.500) and Zn at (0.500, 0.500, 0.297).

The calculation puts the total magnetization at 0.0 μB per cell. The value obtained for the formation energy is -0.123 eV per atom.



Compound: CaAl2Zn8
Source: Alexandria
Functional: PBE
Structure: optimized geometry

It has space group P4/mmm (No. 123), with a = 5.120 Å, b = 5.120 Å, c = 9.375 Å, α = 90.00°, β = 90.00° and γ = 90.00°. Symmetry generates all atoms from Ca at (0.000, 0.000, 0.000), Al at (0.000, 0.500, 0.500) and Zn at (0.251, 0.251, 0.282).

The calculation puts the total magnetization at 0.0 μB per cell. The value obtained for the formation energy is 0.187 eV per atom.



Compound: Ca2Al3Zn5
Source: Alexandria
Functional: PBE
Structure: optimized geometry

It has space group Ibam (No. 72), with a = 11.104 Å, b = 11.911 Å, c = 5.938 Å, α = 90.00°, β = 90.00° and γ = 90.00°. Symmetry generates all atoms from Ca at (0.247, 0.124, 0.000), Al at (0.000, 0.500, 0.250), Al at (0.131, 0.129, 0.500), Zn at (0.000, 0.000, 0.250), Zn at (0.000, 0.260, 0.250) and Zn at (0.142, 0.377, 0.000).

The calculation puts the total magnetization at 0.0 μB per cell. The value obtained for the distance to the lowest polymorph of the same formula is 0.0000 eV per atom. The value obtained for the formation energy is -0.241 eV per atom.



Compound: CaAl4Zn3
Source: Alexandria
Functional: PBE
Structure: optimized geometry

It has space group P4/mmm (No. 123), with a = 4.287 Å, b = 4.287 Å, c = 8.271 Å, α = 90.00°, β = 90.00° and γ = 90.00°. Symmetry generates all atoms from Ca at (0.000, 0.000, 0.000), Al at (0.000, 0.500, 0.324), Zn at (0.000, 0.000, 0.500) and Zn at (0.500, 0.500, 0.148).

The calculation puts the total magnetization at 0.0 μB per cell. The value obtained for the formation energy is -0.149 eV per atom.



Compound: Ca6Al2Zn
Source: Alexandria
Functional: PBE
Structure: optimized geometry

It has space group Immm (No. 71), with a = 10.122 Å, b = 10.500 Å, c = 10.825 Å, α = 90.00°, β = 90.00° and γ = 90.00°. Symmetry generates all atoms from Ca at (0.000, 0.209, 0.171), Ca at (0.177, 0.235, 0.500), Ca at (0.197, 0.500, 0.249), Al at (0.000, 0.000, 0.380), Al at (0.137, 0.000, 0.000), Zn at (0.000, 0.500, 0.000) and Zn at (0.000, 0.500, 0.500).

The calculation puts the total magnetization at 0.0 μB per cell. The value obtained for the formation energy is -0.121 eV per atom.



Compound: Ca7Al2Zn2
Source: Alexandria
Functional: PBE
Structure: optimized geometry

It has space group C2/m (No. 12), with a = 8.172 Å, b = 9.755 Å, c = 9.196 Å, α = 90.00°, β = 112.92° and γ = 90.00°. Symmetry generates all atoms from Ca at (0.000, 0.000, 0.000), Ca at (0.184, 0.000, 0.443), Ca at (0.216, 0.310, 0.188), Al at (0.083, 0.500, 0.762) and Zn at (0.000, 0.303, 0.500).

The calculation puts the total magnetization at 0.0 μB per cell. The value obtained for the distance to the lowest polymorph of the same formula is 0.0000 eV per atom. The value obtained for the formation energy is -0.098 eV per atom.



Compound: Ca3Al2Zn9
Source: Alexandria
Functional: PBE
Structure: optimized geometry

It has space group Immm (No. 71), with a = 4.324 Å, b = 9.409 Å, c = 13.052 Å, α = 90.00°, β = 90.00° and γ = 90.00°. Symmetry generates all atoms from Ca at (0.000, 0.000, 0.000), Ca at (0.000, 0.000, 0.299), Al at (0.000, 0.199, 0.500), Zn at (0.000, 0.283, 0.131), Zn at (0.000, 0.360, 0.334) and Zn at (0.000, 0.500, 0.000).

The calculation puts the total magnetization at 0.0 μB per cell. The value obtained for the formation energy is -0.251 eV per atom.



Compound: CaAlZn
Source: Alexandria
Functional: PBE
Structure: optimized geometry

It has space group Imma (No. 74), with a = 5.609 Å, b = 5.623 Å, c = 7.897 Å, α = 90.00°, β = 90.00° and γ = 90.00°. Symmetry generates all atoms from Ca at (0.000, 0.250, 0.126), Al at (0.000, 0.000, 0.500) and Zn at (0.250, 0.250, 0.750).

The calculation puts the total magnetization at 0.0 μB per cell. The value obtained for the formation energy is -0.300 eV per atom.



Compound: CaAlZn
Source: Alexandria
Functional: PBE
Structure: optimized geometry

It has space group R-3m (No. 166, hexagonal axes), with a = 5.6633 Å, b = 5.6633 Å, c = 40.4467 Å, α = 90.00°, β = 90.00° and γ = 120.00°. Symmetry generates all atoms from Ca at (0.0000, 0.0000, 0.0430), Ca at (0.0000, 0.0000, 0.1794), Ca at (0.0000, 0.0000, 0.2628), Al at (0.0000, 0.0000, 0.3925), Al at (0.0000, 0.0000, 0.5000), Al at (0.0000, 0.5000, 0.0000) and Zn at (0.0089, 0.5044, 0.7788).

The calculation puts the total magnetization at 0.0 μB per cell. The value obtained for the formation energy is -0.305 eV per atom.



Compound: CaAlZn2
Source: Alexandria
Functional: PBE
Structure: optimized geometry

It has space group C2/m (No. 12), with a = 7.570 Å, b = 4.350 Å, c = 5.729 Å, α = 90.00°, β = 115.84° and γ = 90.00°. Symmetry generates all atoms from Ca at (0.000, 0.000, 0.000), Al at (0.000, 0.500, 0.500) and Zn at (0.210, 0.000, 0.630).

The calculation puts the total magnetization at 0.0 μB per cell. The value obtained for the formation energy is -0.198 eV per atom.



Compound: Ca2Al3Zn5
Source: Alexandria
Functional: PBE
Structure: optimized geometry

It has space group P-4m2 (No. 115), with a = 4.165 Å, b = 4.165 Å, c = 11.409 Å, α = 90.00°, β = 90.00° and γ = 90.00°. Symmetry generates all atoms from Ca at (0.000, 0.500, 0.246), Al at (0.000, 0.500, 0.642), Al at (0.500, 0.500, 0.500), Zn at (0.000, 0.000, 0.000), Zn at (0.000, 0.000, 0.500), Zn at (0.000, 0.500, 0.863) and Zn at (0.500, 0.500, 0.000).

The calculation puts the total magnetization at 0.0 μB per cell. The value obtained for the distance to the lowest polymorph of the same formula is 0.0276 eV per atom. The value obtained for the formation energy is -0.213 eV per atom.



Compound: Ca3AlZn
Source: Alexandria
Functional: PBE
Structure: optimized geometry

It has space group Cmcm (No. 63), with a = 5.285 Å, b = 20.558 Å, c = 5.283 Å, α = 90.00°, β = 90.00° and γ = 90.00°. Symmetry generates all atoms from Ca at (0.000, 0.073, 0.250), Ca at (0.000, 0.250, 0.250), Ca at (0.000, 0.426, 0.250), Al at (0.000, 0.159, 0.750) and Zn at (0.000, 0.340, 0.750).

The calculation puts the total magnetization at 0.0 μB per cell. The value obtained for the distance to the lowest polymorph of the same formula is 0.0000 eV per atom. The value obtained for the formation energy is -0.188 eV per atom.



Compound: Ca3AlZn
Source: Alexandria
Functional: PBE
Structure: optimized geometry

It has space group Pm-3m (No. 221), with a = 5.606 Å, b = 5.606 Å, c = 5.606 Å, α = 90.00°, β = 90.00° and γ = 90.00°. Symmetry generates all atoms from Ca at (0.000, 0.000, 0.500), Al at (0.500, 0.500, 0.500) and Zn at (0.000, 0.000, 0.000).

The calculation puts the total magnetization at 0.0 μB per cell. The value obtained for the distance to the lowest polymorph of the same formula is 0.3933 eV per atom. The value obtained for the formation energy is 0.205 eV per atom.



Compound: CaAlZn
Source: Alexandria
Functional: PBE
Structure: optimized geometry

It has space group I4mm (No. 107), with a = 3.367 Å, b = 3.367 Å, c = 11.392 Å, α = 90.00°, β = 90.00° and γ = 90.00°. Symmetry generates all atoms from Ca at (0.000, 0.000, 0.000), Al at (0.000, 0.000, 0.696) and Zn at (0.000, 0.000, 0.316).

The calculation puts the total magnetization at 0.0 μB per cell. The value obtained for the formation energy is -0.156 eV per atom.



Compound: Ca3Al7Zn2
Source: Alexandria
Functional: PBE
Structure: optimized geometry

It has space group R-3m (No. 166, hexagonal axes), with a = 5.6163 Å, b = 5.6163 Å, c = 26.5194 Å, α = 90.00°, β = 90.00° and γ = 120.00°. Symmetry generates all atoms from Ca at (0.0000, 0.0000, 0.0000), Ca at (0.0000, 0.0000, 0.1423), Al at (0.0000, 0.0000, 0.5000), Al at (0.0064, 0.5032, 0.9188) and Zn at (0.0000, 0.0000, 0.3353).

The calculation puts the total magnetization at 0.0 μB per cell. The value obtained for the formation energy is -0.280 eV per atom.